Entry 1:
Material: MgMo2
Method: DFT, PBE-GGA
State: optimized geometry

Cell lengths 6.184, 6.184, 6.184 Å; angles 90.00, 90.00, 90.00 degrees
Element x y z (fractional)
Mo 0.106 0.606 0.894
Mo 0.106 0.894 0.394
Mo 0.394 0.106 0.894
Mo 0.394 0.394 0.394
Mo 0.606 0.606 0.606
Mo 0.606 0.894 0.106
Mo 0.894 0.106 0.606
Mo 0.894 0.394 0.106
Mg 0.000 0.000 0.000
Mg 0.000 0.500 0.500
Mg 0.500 0.000 0.500
Mg 0.500 0.500 0.000

- crystal system = cubic
- ΔE to the lowest computed polymorph (meV/atom) = 1424.3
- DFT total energy (eV per cell) = -73.720

=====

Entry 2:
Material: Pr6HgSe4
Method: DFT, PBE-GGA
State: optimized geometry

Cell lengths 4.227, 7.385, 21.774 Å; angles 90.00, 90.00, 106.63 degrees
Element x y z (fractional)
Pr 0.500 0.000 0.000
Pr 0.500 0.000 0.500
Pr 0.047 0.094 0.337
Pr 0.953 0.906 0.663
Pr 0.953 0.906 0.837
Pr 0.047 0.094 0.163
Pr 0.773 0.546 0.417
Pr 0.227 0.454 0.583
Pr 0.227 0.454 0.917
Pr 0.773 0.546 0.083
Pr 0.330 0.661 0.250
Pr 0.670 0.339 0.750
Hg 0.662 0.325 0.250
Hg 0.338 0.675 0.750
Se 0.863 0.725 0.541
Se 0.410 0.819 0.125
Se 0.137 0.275 0.459
Se 0.590 0.181 0.875
Se 0.863 0.725 0.959
Se 0.137 0.275 0.041
Se 0.590 0.181 0.625
Se 0.410 0.819 0.375

- crystal system = orthorhombic
- formation energy from raw total energies (meV per atom) = -1424
- DFT total energy (eV per cell) = -117.157

=====

Entry 3:
Material: Th2ZnNi
Method: DFT, PBE-GGA
State: optimized geometry

Cell lengths 4.113, 6.124, 7.709 Å; angles 107.49, 90.00, 90.00 degrees
Element x y z (fractional)
Th 0.750 0.208 0.443
Th 0.250 0.792 0.557
Th 0.250 0.803 0.092
Th 0.750 0.197 0.908
Zn 0.250 0.364 0.212
Zn 0.750 0.636 0.788
Ni 0.750 0.630 0.281
Ni 0.250 0.370 0.719

- crystal system = monoclinic
- ΔE to the lowest computed polymorph (meV/atom) = 0.0
- DFT total energy (eV per cell) = -46.020

=====

Entry 4:
Material: Li2TlSb2
Method: DFT, PBE-GGA
State: optimized geometry

Cell lengths 8.929, 8.929, 3.060 Å; angles 90.00, 90.00, 90.00 degrees
Element x y z (fractional)
Sb 0.167 0.667 0.500
Sb 0.667 0.833 0.500
Sb 0.833 0.333 0.500
Sb 0.333 0.167 0.500
Tl 0.000 0.000 0.000
Tl 0.500 0.500 0.000
Li 0.374 0.874 0.000
Li 0.874 0.626 0.000
Li 0.626 0.126 0.000
Li 0.126 0.374 0.000

- crystal system = tetragonal
- formation energy from raw total energies (meV per atom) = -290
- ΔE to the lowest computed polymorph (meV/atom) = 0.0
- DFT total energy (eV per cell) = -31.779

=====

Entry 5:
Material: KZnCl2
Method: DFT, PBE-GGA
State: optimized geometry

Cell lengths 4.186, 4.186, 6.398 Å; angles 90.00, 90.00, 90.04 degrees
Element x y z (fractional)
Zn 0.500 0.500 0.913
K 0.000 0.000 0.404
Cl 0.000 0.000 0.884
Cl 0.500 0.500 0.299

- crystal system = tetragonal
- formation energy from raw total energies (meV per atom) = -1071
- ΔE to the lowest computed polymorph (meV/atom) = 57.3
- DFT total energy (eV per cell) = -10.348

=====

Entry 6:
Material: Y4Te5C2
Method: DFT, PBE-GGA
State: optimized geometry

Cell lengths 4.207, 8.408, 9.897 Å; angles 104.19, 102.27, 90.00 degrees
Element x y z (fractional)
Y 0.668 0.583 0.336
Y 0.995 0.733 0.991
Y 0.332 0.417 0.664
Y 0.005 0.267 0.009
Te 0.154 0.829 0.308
Te 0.846 0.171 0.692
Te 0.166 0.314 0.332
Te 0.500 0.000 0.000
Te 0.834 0.686 0.668
C 0.533 0.501 0.067
C 0.467 0.499 0.933

- crystal system = monoclinic
- formation energy from raw total energies (meV per atom) = -916
- DFT total energy (eV per cell) = -70.091

=====

Entry 7:
Material: LiTa2CuIr
Method: DFT, PBE-GGA
State: optimized geometry

Cell lengths 4.665, 3.834, 4.665 Å; angles 90.00, 90.00, 90.00 degrees
Element x y z (fractional)
Ir 0.500 0.500 0.500
Li 0.000 0.500 0.000
Cu 0.000 0.000 0.000
Ta 0.000 0.000 0.500
Ta 0.500 0.000 0.000

- crystal system = tetragonal
- DFT total energy (eV per cell) = -34.170

=====

Entry 8:
Material: Nd2CuTe3
Method: DFT, PBE-GGA
State: optimized geometry

Cell lengths 4.186, 4.862, 9.425 Å; angles 104.95, 102.83, 90.00 degrees
Element x y z (fractional)
Nd 0.638 0.638 0.276
Nd 0.362 0.362 0.724
Cu 0.000 0.000 0.000
Te 0.000 0.500 0.000
Te 0.822 0.822 0.645
Te 0.178 0.178 0.355

- crystal system = orthorhombic
- formation energy from raw total energies (meV per atom) = -998
- ΔE to the lowest computed polymorph (meV/atom) = 118.7
- DFT total energy (eV per cell) = -29.042

=====

Entry 9:
Material: BeZn2Si
Method: DFT, PBE-GGA
State: optimized geometry

Cell lengths 3.929, 3.708, 3.708 Å; angles 90.00, 90.00, 90.00 degrees
Element x y z (fractional)
Be 0.500 0.500 0.000
Zn 0.000 0.000 0.000
Zn 0.000 0.500 0.500
Si 0.500 0.000 0.500

- crystal system = tetragonal
- formation energy from raw total energies (meV per atom) = 323
- DFT total energy (eV per cell) = -10.405

=====

Entry 10:
Material: ScAlTl2
Method: DFT, PBE-GGA
State: optimized geometry

Cell lengths 4.543, 4.543, 4.419 Å; angles 90.00, 90.00, 90.00 degrees
Element x y z (fractional)
Sc 0.000 0.500 0.500
Tl 0.000 0.000 0.000
Tl 0.500 0.500 0.000
Al 0.500 0.000 0.500

- crystal system = tetragonal
- ΔE to the lowest computed polymorph (meV/atom) = 0.0
- DFT total energy (eV per cell) = -15.154

=====

Entry 11:
Material: Y3TlO
Method: DFT, PBE-GGA
State: optimized geometry

Cell lengths 5.844, 6.691, 8.423 Å; angles 115.98, 77.30, 117.65 degrees
Element x y z (fractional)
Y 0.168 0.713 0.871
Y 0.044 0.160 0.321
Y 0.521 0.540 0.084
Y 0.009 0.689 0.397
Y 0.885 0.136 0.847
Y 0.532 0.308 0.634
Tl 0.499 0.745 0.526
Tl 0.555 0.103 0.192
O 0.280 0.433 0.863
O 0.773 0.416 0.855

- crystal system = triclinic
- formation energy from raw total energies (meV per atom) = -1317
- DFT total energy (eV per cell) = -66.607

=====

Entry 12:
Material: Sm5Dy8Sc
Method: DFT, PBE-GGA
State: optimized geometry

Cell lengths 8.400, 8.418, 8.400 Å; angles 110.71, 106.82, 110.82 degrees
Element x y z (fractional)
Sm 0.028 0.319 0.132
Sm 0.867 0.895 0.185
Sm 0.814 0.681 0.709
Sm 0.500 0.000 0.500
Sm 0.290 0.105 0.972
Dy 0.169 0.732 0.070
Dy 0.931 0.098 0.661
Dy 0.735 0.258 0.339
Dy 0.661 0.396 0.918
Dy 0.522 0.604 0.265
Dy 0.563 0.902 0.833
Dy 0.338 0.268 0.437
Dy 0.082 0.742 0.477
Sc 0.250 0.500 0.750

- crystal system = monoclinic
- DFT total energy (eV per cell) = -63.181